# Pa4Cu3Bi8 | Alexandria via LeMat-Bulk | PBE | relaxed
# ΔH_f (0 K) (eV per formula unit): -1.93
data_Pa4Cu3Bi8
_chemical_formula_sum 'Pa4 Cu3 Bi8'
_space_group_name_H-M_alt 'P -4 m 2'
_space_group_IT_number 115
_space_group_name_Hall 'P -4 -2'
_cell_length_a 4.589
_cell_length_b 4.589
_cell_length_c 18.515
_cell_angle_alpha 90.00
_cell_angle_beta 90.00
_cell_angle_gamma 90.00
loop_
_atom_site_label
_atom_site_type_symbol
_atom_site_fract_x
_atom_site_fract_y
_atom_site_fract_z
Pa1 Pa 0.000 0.500 0.113
Pa2 Pa 0.000 0.500 0.614
Cu1 Cu 0.000 0.000 0.000
Cu2 Cu 0.000 0.000 0.500
Cu3 Cu 0.500 0.500 0.500
Bi1 Bi 0.000 0.000 0.248
Bi2 Bi 0.000 0.500 0.411
Bi3 Bi 0.000 0.500 0.920
Bi4 Bi 0.500 0.500 0.248

# DyHo3S6 | Alexandria via LeMat-Bulk | PBE | relaxed
# Formation energy without anion corrections (eV/atom): -2.07
# Energy relative to the lowest polymorph listed for this composition (meV per atom): 0.0
data_DyHo3S6
_chemical_formula_sum 'Dy2 Ho6 S12'
_space_group_name_H-M_alt 'P 1 21/m 1'
_space_group_IT_number 11
_space_group_name_Hall '-P 2yb'
_cell_length_a 10.990
_cell_length_b 3.934
_cell_length_c 11.259
_cell_angle_alpha 90.00
_cell_angle_beta 108.73
_cell_angle_gamma 90.00
loop_
_atom_site_label
_atom_site_type_symbol
_atom_site_fract_x
_atom_site_fract_y
_atom_site_fract_z
Dy1 Dy 0.044 0.250 0.191
Ho1 Ho 0.161 0.250 0.584
Ho2 Ho 0.318 0.750 0.997
Ho3 Ho 0.433 0.250 0.332
S1 S 0.082 0.750 0.402
S2 S 0.111 0.250 0.963
S3 S 0.191 0.750 0.749
S4 S 0.255 0.750 0.223
S5 S 0.398 0.250 0.563
S6 S 0.477 0.250 0.113

# TbPuMg2 | Alexandria via LeMat-Bulk | PBE | relaxed
# Energy relative to the lowest polymorph listed for this composition (meV per atom): 201.9
# ΔH_f (0 K) (eV per formula unit): 1.13
data_TbPuMg2
_chemical_formula_sum 'Tb3 Pu3 Mg6'
_space_group_name_H-M_alt 'R -3 m'
_space_group_IT_number 166
_space_group_name_Hall '-R 3 2"'
_cell_length_a 3.2175
_cell_length_b 3.2175
_cell_length_c 36.9142
_cell_angle_alpha 90.00
_cell_angle_beta 90.00
_cell_angle_gamma 120.00
loop_
_atom_site_label
_atom_site_type_symbol
_atom_site_fract_x
_atom_site_fract_y
_atom_site_fract_z
Tb1 Tb 0.0000 0.0000 0.0000
Pu1 Pu 0.0000 0.0000 0.5000
Mg1 Mg 0.0000 0.0000 0.0885